A plane-wave DFT calculation with PBE-GGA was carried out for crystalline K4Dy3PaSe8 at its relaxed geometry.

abc: 9.113 9.113 9.113
angles: 55.07 55.07 55.07
Element x y z (fractional)
K 0.000 0.000 0.000
K 0.000 0.500 0.500
K 0.500 0.000 0.500
K 0.500 0.500 0.000
Dy 0.000 0.000 0.500
Dy 0.000 0.500 0.000
Dy 0.500 0.000 0.000
Pa 0.500 0.500 0.500
Se 0.235 0.235 0.235
Se 0.235 0.736 0.736
Se 0.264 0.264 0.765
Se 0.264 0.765 0.264
Se 0.736 0.235 0.736
Se 0.736 0.736 0.235
Se 0.765 0.264 0.264
Se 0.765 0.765 0.765

* symmetry: No. 166
* final energy: -81.702 eV/cell
* E_form (uncorrected): -26.13 eV/f.u.
* total moment: 1.8 μB/f.u.

***

A plane-wave DFT calculation with PBE-GGA was carried out for crystalline KDyPaSe4 at its relaxed geometry.

abc: 8.741 8.741 8.741
angles: 119.98 118.78 91.08
Element x y z (fractional)
K 0.381 0.131 0.250
K 0.619 0.869 0.750
Dy 0.000 0.000 0.500
Dy 0.000 0.500 0.000
Pa 0.000 0.500 0.500
Pa 0.500 0.500 0.000
Se 0.194 0.732 0.462
Se 0.229 0.268 0.962
Se 0.236 0.274 0.538
Se 0.236 0.698 0.962
Se 0.764 0.302 0.038
Se 0.764 0.726 0.462
Se 0.771 0.732 0.038
Se 0.806 0.268 0.538

* symmetry: No. 74
* final energy: -79.559 eV/cell
* E_form (uncorrected): -10.65 eV/f.u.
* total moment: 1.0 μB/f.u.

***

A plane-wave DFT calculation with PBE-GGA was carried out for crystalline K2Dy2PaSe6 at its relaxed geometry.

abc: 7.233 7.233 8.229
angles: 98.52 98.52 119.95
Element x y z (fractional)
K 0.168 0.832 0.000
K 0.832 0.168 0.000
Dy 0.333 0.667 0.500
Dy 0.667 0.333 0.500
Pa 0.000 0.000 0.500
Se 0.067 0.399 0.701
Se 0.263 0.263 0.299
Se 0.399 0.067 0.701
Se 0.601 0.933 0.299
Se 0.737 0.737 0.701
Se 0.933 0.601 0.299

* symmetry: No. 12
* final energy: -60.095 eV/cell
* E_form (uncorrected): -18.29 eV/f.u.
* total moment: 1.1 μB/f.u.

***

A plane-wave DFT calculation with PBE-GGA was carried out for crystalline K2DyPaSe4 at its relaxed geometry.

abc: 7.296 4.166 8.128
angles: 90.00 107.05 90.00
Element x y z (fractional)
K 0.000 0.000 0.000
K 0.500 0.500 0.000
Dy 0.000 0.500 0.500
Pa 0.500 0.000 0.500
Se 0.236 0.000 0.707
Se 0.261 0.500 0.289
Se 0.739 0.500 0.711
Se 0.764 0.000 0.293

* symmetry: No. 10
* final energy: -42.385 eV/cell
* E_form (uncorrected): -12.15 eV/f.u.
* total moment: 2.0 μB/f.u.

***

A plane-wave DFT calculation with PBE-GGA was carried out for crystalline K4DyPa3Se8 at its relaxed geometry.

abc: 9.202 9.202 9.202
angles: 53.85 53.85 53.85
Element x y z (fractional)
K 0.000 0.000 0.000
K 0.000 0.500 0.500
K 0.500 0.000 0.500
K 0.500 0.500 0.000
Dy 0.500 0.500 0.500
Pa 0.000 0.000 0.500
Pa 0.000 0.500 0.000
Pa 0.500 0.000 0.000
Se 0.238 0.238 0.238
Se 0.239 0.736 0.736
Se 0.264 0.264 0.761
Se 0.264 0.761 0.264
Se 0.736 0.239 0.736
Se 0.736 0.736 0.239
Se 0.761 0.264 0.264
Se 0.762 0.762 0.762

* symmetry: No. 166
* final energy: -88.009 eV/cell
* E_form (uncorrected): -22.65 eV/f.u.
* total moment: 5.9 μB/f.u.

***

A plane-wave DFT calculation with PBE-GGA was carried out for crystalline K2DyPa2Te6 at its relaxed geometry.

abc: 7.611 7.611 8.918
angles: 98.17 98.17 120.02
Element x y z (fractional)
K 0.166 0.834 0.000
K 0.834 0.166 0.000
Dy 0.000 0.000 0.500
Pa 0.333 0.667 0.500
Pa 0.667 0.333 0.500
Te 0.072 0.403 0.710
Te 0.265 0.265 0.290
Te 0.403 0.072 0.710
Te 0.597 0.928 0.290
Te 0.735 0.735 0.710
Te 0.928 0.597 0.290

* symmetry: No. 12
* final energy: -56.363 eV/cell
* E_form (uncorrected): -11.72 eV/f.u.
* total moment: 3.0 μB/f.u.

***

A plane-wave DFT calculation with PBE-GGA was carried out for crystalline K4Dy3PaTe8 at its relaxed geometry.

abc: 9.771 9.771 9.771
angles: 54.60 54.60 54.60
Element x y z (fractional)
K 0.000 0.000 0.000
K 0.000 0.500 0.500
K 0.500 0.000 0.500
K 0.500 0.500 0.000
Dy 0.000 0.000 0.500
Dy 0.000 0.500 0.000
Dy 0.500 0.000 0.000
Pa 0.500 0.500 0.500
Te 0.235 0.738 0.738
Te 0.236 0.236 0.236
Te 0.262 0.262 0.765
Te 0.262 0.765 0.262
Te 0.738 0.235 0.738
Te 0.738 0.738 0.235
Te 0.764 0.764 0.764
Te 0.765 0.262 0.262

* symmetry: No. 166
* final energy: -73.020 eV/cell
* E_form (uncorrected): -20.19 eV/f.u.
* total moment: 1.9 μB/f.u.

***

A plane-wave DFT calculation with PBE-GGA was carried out for crystalline K4DyPa3Te8 at its relaxed geometry.

abc: 9.869 9.869 9.869
angles: 53.28 53.28 53.28
Element x y z (fractional)
K 0.000 0.000 0.000
K 0.000 0.500 0.500
K 0.500 0.000 0.500
K 0.500 0.500 0.000
Dy 0.500 0.500 0.500
Pa 0.000 0.000 0.500
Pa 0.000 0.500 0.000
Pa 0.500 0.000 0.000
Te 0.239 0.239 0.239
Te 0.240 0.737 0.737
Te 0.263 0.263 0.760
Te 0.263 0.760 0.263
Te 0.737 0.240 0.737
Te 0.737 0.737 0.240
Te 0.760 0.263 0.263
Te 0.761 0.761 0.761

* symmetry: No. 166
* final energy: -79.106 eV/cell
* E_form (uncorrected): -16.49 eV/f.u.
* total moment: 5.9 μB/f.u.

***

A plane-wave DFT calculation with PBE-GGA was carried out for crystalline K2DyPaTe4 at its relaxed geometry.

abc: 7.759 4.433 8.729
angles: 90.00 106.89 90.00
Element x y z (fractional)
K 0.000 0.000 0.000
K 0.500 0.500 0.000
Dy 0.000 0.500 0.500
Pa 0.500 0.000 0.500
Te 0.236 0.000 0.711
Te 0.259 0.500 0.286
Te 0.741 0.500 0.714
Te 0.764 0.000 0.289

* symmetry: No. 10
* final energy: -37.991 eV/cell
* E_form (uncorrected): -9.13 eV/f.u.
* total moment: 2.0 μB/f.u.

***

A plane-wave DFT calculation with PBE-GGA was carried out for crystalline K3DyPa3Te8 at its relaxed geometry.

abc: 9.942 9.942 9.942
angles: 52.40 52.40 52.40
Element x y z (fractional)
K 0.000 0.500 0.500
K 0.500 0.000 0.500
K 0.500 0.500 0.000
Dy 0.500 0.500 0.500
Pa 0.000 0.000 0.500
Pa 0.000 0.500 0.000
Pa 0.500 0.000 0.000
Te 0.236 0.737 0.737
Te 0.238 0.238 0.238
Te 0.263 0.263 0.764
Te 0.263 0.764 0.263
Te 0.737 0.236 0.737
Te 0.737 0.737 0.236
Te 0.762 0.762 0.762
Te 0.764 0.263 0.263

* symmetry: No. 166
* final energy: -76.942 eV/cell
* E_form (uncorrected): -15.43 eV/f.u.
* total moment: 5.0 μB/f.u.

***

- The highest final energy belongs to which entry?
  K2DyPaTe4

***

- What is the total moment in the second record?
  1.0 μB/f.u.

***

- What is the formula in the second record?
  KDyPaSe4

***

- Among the records above, which one has the lowest E_form (uncorrected)?
  K4Dy3PaSe8